1.
A relaxed KDyTh crystal, computed with PBE.

The structure belongs to space group F-43m (No. 216); the cell edges are 8.0905, 8.0905 and 8.0905 Å and the angles 90.00°, 90.00° and 90.00°. The inequivalent atoms are K at (0.0000, 0.0000, 0.0000), Dy at (0.2500, 0.2500, 0.2500) and Th at (0.0000, 0.0000, 0.5000).

As for the total energy: -0.110 Ha/atom. As for the polymorph energy (0 for the lowest one): 0.00 eV/f.u.

***

2.
A relaxed KDyTl crystal, computed with PBE.

The structure belongs to space group F-43m (No. 216); the cell edges are 7.7486, 7.7486 and 7.7486 Å and the angles 90.00°, 90.00° and 90.00°. The inequivalent atoms are K at (0.0000, 0.0000, 0.0000), Dy at (0.0000, 0.0000, 0.5000) and Tl at (0.2500, 0.2500, 0.7500).

As for the total energy: -0.087 Ha/atom. As for the polymorph energy (0 for the lowest one): 0.00 eV/f.u.